Compound: DyTcGe3
Source: the Alexandria database
Functional: PBE-GGA
Structure: optimized geometry

Cell and atoms, written as POSCAR:
```
DyTcGe3
1.0
2.8268 -5.6451 0.0000
2.8268 5.6451 0.0000
0.0000 0.0000 5.9358
Dy Tc Ge
2 2 6
Direct
0.1047 0.8953 0.7500
0.8953 0.1047 0.2500
0.5000 0.5000 0.0000
0.5000 0.5000 0.5000
0.1074 0.3636 0.7500
0.3186 0.6814 0.2500
0.3636 0.1074 0.2500
0.6364 0.8926 0.7500
0.6814 0.3186 0.7500
0.8926 0.6364 0.2500
```

## Properties
The calculation puts the calculated density at 8.39 g/cm3. The calculation puts the calculated total energy at -6.15 eV/atom. The value obtained for the formation enthalpy at 0 K is -0.391 eV/atom.

***

Compound: DyTiTcGe2
Source: the Alexandria database
Functional: PBE-GGA
Structure: optimized geometry

Cell and atoms, written as POSCAR:
```
DyTiTcGe2
1.0
-1.9849 1.9849 5.7926
1.9849 -1.9849 5.7926
1.9849 1.9849 -5.7926
Dy Ti Tc Ge
1 1 1 2
Direct
0.0000 0.0000 0.0000
0.7500 0.2500 0.5000
0.2500 0.7500 0.5000
0.3919 0.3919 0.0000
0.6081 0.6081 0.0000
```

## Properties
The calculation puts the calculated density at 8.25 g/cm3. The calculation puts the calculated total energy at -7.08 eV/atom. The value obtained for the formation enthalpy at 0 K is -0.658 eV/atom.

***

Compound: Dy2GeTe
Source: the Alexandria database
Functional: PBE-GGA
Structure: optimized geometry

Cell and atoms, written as POSCAR:
```
Dy2GeTe
1.0
2.1216 1.2249 7.0839
-2.1216 1.2249 7.0839
0.0000 -2.4498 7.0839
Dy Ge Te
2 1 1
Direct
0.2400 0.2400 0.2400
0.7600 0.7600 0.7600
0.5000 0.5000 0.5000
0.0000 0.0000 0.0000
```

## Properties
The calculation puts the calculated density at 7.90 g/cm3. The calculation puts the calculated total energy at -5.43 eV/atom. The energy relative to the lowest polymorph listed for this composition is 0.0 meV/atom. The formation energy without anion corrections is -1187 meV/atom.

***

Compound: Dy5Ge2Te2
Source: the Alexandria database
Functional: PBE-GGA
Structure: optimized geometry

Cell and atoms, written as POSCAR:
```
Dy5Ge2Te2
1.0
7.6000 -3.9264 0.0000
7.6000 3.9264 0.0000
0.0000 0.0000 7.8969
Dy Ge Te
10 4 4
Direct
0.0000 0.0000 0.0000
0.0358 0.7132 0.6622
0.2132 0.5358 0.1622
0.2868 0.9642 0.6622
0.4642 0.7868 0.1622
0.5000 0.5000 0.5000
0.5358 0.2132 0.8378
0.7132 0.0358 0.3378
0.7868 0.4642 0.8378
0.9642 0.2868 0.3378
0.1419 0.8581 0.3603
0.3581 0.6419 0.8603
0.6419 0.3581 0.1397
0.8581 0.1419 0.6397
0.2041 0.2041 0.0000
0.2959 0.2959 0.5000
0.7041 0.7041 0.5000
0.7959 0.7959 0.0000
```

## Properties
The calculation puts the calculated density at 8.55 g/cm3. The calculation puts the calculated total energy at -5.33 eV/atom. The formation energy without anion corrections is -1050 meV/atom.

***

Compound: Dy5GeTe5
Source: the Alexandria database
Functional: PBE-GGA
Structure: optimized geometry

Cell and atoms, written as POSCAR:
```
Dy5GeTe5
1.0
6.8437 -3.0541 0.0000
6.8437 3.0541 0.0000
-2.7523 0.0000 8.1549
Dy Ge Te
5 1 5
Direct
0.0000 0.0000 0.0000
0.3432 0.3432 0.1599
0.3439 0.3439 0.6822
0.6561 0.6561 0.3178
0.6568 0.6568 0.8401
0.5000 0.5000 0.0000
0.1641 0.1641 0.8255
0.1712 0.1712 0.3363
0.5000 0.5000 0.5000
0.8288 0.8288 0.6637
0.8359 0.8359 0.1745
```

## Properties
The calculation puts the calculated density at 7.42 g/cm3. The calculation puts the calculated total energy at -5.28 eV/atom. The formation energy without anion corrections is -1337 meV/atom.

***

Compound: Dy7Ge2Te2
Source: the Alexandria database
Functional: PBE-GGA
Structure: optimized geometry

Cell and atoms, written as POSCAR:
```
Dy7Ge2Te2
1.0
4.4183 -5.3007 0.0000
4.4183 5.3007 0.0000
0.0000 0.0000 7.0592
Dy Ge Te
7 2 2
Direct
0.0000 0.0000 0.0000
0.0000 0.5000 0.2790
0.0000 0.5000 0.7210
0.5000 0.0000 0.2790
0.5000 0.0000 0.7210
0.5000 0.5000 0.2692
0.5000 0.5000 0.7308
0.2094 0.2094 0.5000
0.7906 0.7906 0.5000
0.2802 0.7198 0.0000
0.7198 0.2802 0.0000
```

## Properties
The calculation puts the calculated density at 7.72 g/cm3. The calculation puts the calculated total energy at -4.73 eV/atom. The formation energy without anion corrections is -386 meV/atom.

***

Question: Which of these has the lowest calculated total energy?
Answer: DyTiTcGe2